1.
Compound: PuAl6
Source: Alexandria
Functional: GGA-PBE
Structure: optimized geometry

**Excess energy over the best structure of this formula in the dataset**: 0 meV/atom
**E_form**: -88 meV/atom
**Space group**: P4/nbm, No. 125
**Crystal system**: tetragonal

a b c (Å): 5.830 5.830 7.985
angles (deg): 90.00 90.00 90.00
Site moments in Bohr magnetons follow the coordinates.
Fractional positions:
1 Al 0.500 0.500 0.843  -0.01
2 Al 0.323 0.177 0.646  -0.01
3 Al 0.000 0.000 0.843  -0.01
4 Al 0.323 0.823 0.354  -0.01
5 Al 0.823 0.323 0.646  -0.01
6 Al 0.677 0.177 0.354  -0.01
7 Al 0.500 0.500 0.157  -0.01
8 Al 0.677 0.823 0.646  -0.01
9 Al 0.823 0.677 0.354  -0.01
10 Al 0.177 0.677 0.646  -0.01
11 Al 0.177 0.323 0.354  -0.01
12 Al 0.000 0.000 0.157  -0.01
13 Pu 0.500 0.000 0.000  5.25
14 Pu 0.000 0.500 0.000  5.25

***

2.
Compound: CoN
Source: Alexandria
Functional: GGA-PBE
Structure: optimized geometry

**Excess energy over the best structure of this formula in the dataset**: 93 meV/atom
**Space group**: Pmmn, No. 59
**Crystal system**: orthorhombic

a b c (Å): 3.045 4.224 9.660
angles (deg): 90.00 90.00 90.00
Fractional positions:
1 N 0.500 0.158 0.148
2 N 0.000 0.842 0.648
3 N 0.000 0.671 0.000
4 N 0.500 0.158 0.852
5 N 0.500 0.329 0.500
6 N 0.000 0.842 0.352
7 Co 0.500 0.429 0.000
8 Co 0.000 0.571 0.500
9 Co 0.000 0.911 0.158
10 Co 0.000 0.911 0.842
11 Co 0.500 0.089 0.658
12 Co 0.500 0.089 0.342

***

3.
Compound: PuPaCu4
Source: Alexandria
Functional: GGA-PBE
Structure: optimized geometry

**Excess energy over the best structure of this formula in the dataset**: 0 meV/atom
**E_form**: -22 meV/atom
**Space group**: Immm, No. 71
**Crystal system**: orthorhombic

a b c (Å): 4.467 5.375 5.375
angles (deg): 91.80 114.55 114.55
Site moments in Bohr magnetons follow the coordinates.
Fractional positions:
1 Pu 0.000 0.500 0.000  5.15
2 Cu 0.755 0.922 0.088  0.01
3 Cu 0.245 0.078 0.912  0.01
4 Cu 0.755 0.588 0.422  0.01
5 Cu 0.245 0.412 0.578  0.01
6 Pa 0.500 0.000 0.500  0.38

***

4.
Compound: CdH2Ru
Source: Alexandria
Functional: GGA-PBE
Structure: optimized geometry

**Excess energy over the best structure of this formula in the dataset**: 35 meV/atom
**Space group**: R3m, No. 160
**Crystal system**: trigonal

a b c (Å): 3.035 3.035 5.515
angles (deg): 74.03 74.03 60.00
Fractional positions:
1 Cd 0.493 0.493 0.521
2 H 0.295 0.295 0.114
3 H 0.039 0.039 0.884
4 Ru 0.673 0.673 0.980

***

Number 1: DOS(E_F) 25.097 states/eV/cell. Number 2: DOS(E_F) 7.391 states/eV/cell. Number 3: DOS(E_F) 11.903 states/eV/cell. Number 4: DOS(E_F) 1.807 states/eV/cell.